The following is a DFT calculation (meta-GGA SCAN) of a crystal of Ba2Fe3P6HO22 relaxed with PBEsol.

Values from the calculation:
The total energy comes out at -0.90623 Ry per atom.

a b c (Å): 4.8095 7.8186 11.3159
angles (deg): 89.13 89.55 87.42
Closest atoms and distances in Å follow each position.
Space group P-1 (No. 2)
One atom of each set of equivalent atoms:
Ba 0.2348 0.0037 0.1756  8 O 2.70-2.95
Fe 0.2164 0.4942 0.2058  6 O 1.91-2.07
Fe 0.5000 0.0000 0.5000  6 O 1.87-1.94
P 0.0194 0.7662 0.4246  4 O 1.52-1.60
P 0.2720 0.7022 0.6529  4 O 1.51-1.61
P 0.3200 0.2948 0.9502  4 O 1.54-1.57
H 0.0000 0.5000 0.0000  2 O 1.19
O 0.0247 0.7032 0.7386  1 P 1.53
O 0.0354 0.6678 0.3102  1 P 1.52
O 0.0974 0.4375 0.9127  1 H 1.19
O 0.1640 0.6480 0.5253  2 P 1.60-1.61
O 0.1935 0.9272 0.4114  1 P 1.55
O 0.2296 0.1113 0.9298  1 P 1.54
O 0.2849 0.1956 0.5410  1 P 1.53
O 0.3615 0.3189 0.0847  1 P 1.55
O 0.3760 0.8868 0.6430  1 P 1.55
O 0.4124 0.6813 0.1223  1 P 1.54
O 0.4984 0.5684 0.6830  1 P 1.51